Entry 1:
Density functional theory data (PBE-GGA) for a relaxed TcPbW crystal.

abc: 3.1690 3.1690 6.9339
angles: 90.00 90.00 120.00
Fractional coordinates of all 3 atoms:
Tc 0.0000 0.0000 0.0000
Pb 0.3333 0.6667 0.6228
W 0.6667 0.3333 0.2414

Output
Total moment = 0.000 μB/atom
Final energy = -25.2 eV per cell
ΔH_f (0 K) = 618.1 meV/atom

=====

Entry 2:
Density functional theory data (PBE-GGA) for a relaxed TlTcBr2 crystal.

abc: 4.5681 3.3490 7.7229
angles: 90.00 107.12 90.00
Fractional coordinates of all 4 atoms:
Tl 0.0000 0.0000 0.0000
Tc 0.5276 0.5000 0.0556
Br 0.3583 0.5000 0.7165
Br 0.6572 0.0000 0.3159

Output
Total moment = 0.099 μB/atom
Final energy = -15.9 eV per cell
ΔE_f (raw) = 13 kJ/mol of formula units

=====

Entry 3:
Density functional theory data (PBE-GGA) for a relaxed BaNa crystal.

abc: 5.4367 5.4367 5.4367
angles: 60.00 60.00 60.00
Fractional coordinates of all 2 atoms:
Ba 0.0000 0.0000 0.0000
Na 0.5000 0.5000 0.5000

Output
Total moment = 0.001 μB/atom
Final energy = -2.9 eV per cell
ΔH_f (0 K) = 183.3 meV/atom

=====

Entry 4:
Density functional theory data (PBE-GGA) for a relaxed BePIr3 crystal.

abc: 4.1502 4.1502 4.1502
angles: 90.00 90.00 90.00
Fractional coordinates of all 5 atoms:
Be 0.0000 0.0000 0.0000
P 0.5000 0.5000 0.5000
Ir 0.0000 0.0000 0.5000
Ir 0.0000 0.5000 0.0000
Ir 0.5000 0.0000 0.0000

Output
Total moment = 0.000 μB/atom
Final energy = -32.4 eV per cell
ΔH_f (0 K) = 657.6 meV/atom

=====

Entry 5:
Density functional theory data (PBE-GGA) for a relaxed Zr2PC crystal.

abc: 6.3358 6.3358 6.3358
angles: 31.95 31.95 31.95
Fractional coordinates of all 4 atoms:
Zr 0.2377 0.2377 0.2377
Zr 0.7623 0.7623 0.7623
P 0.0000 0.0000 0.0000
C 0.5000 0.5000 0.5000

Output
Total moment = 0.000 μB/atom
Final energy = -35.9 eV per cell
ΔH_f (0 K) = -1044.4 meV/atom

=====

Entry 6:
Density functional theory data (PBE-GGA) for a relaxed Re3Sb crystal.

abc: 5.5878 5.5878 4.4131
angles: 90.00 90.00 104.93
Fractional coordinates of all 8 atoms:
Re 0.1192 0.2979 0.7500
Re 0.1956 0.8044 0.7500
Re 0.2979 0.1192 0.2500
Re 0.7021 0.8808 0.7500
Re 0.8044 0.1956 0.2500
Re 0.8808 0.7021 0.2500
Sb 0.3726 0.6274 0.2500
Sb 0.6274 0.3726 0.7500

Output
Total moment = 0.000 μB/atom
Final energy = -78.2 eV per cell
ΔE_f (raw) = 227 kJ/mol of formula units

=====

Entry 7:
Density functional theory data (PBE-GGA) for a relaxed ZrSbPb crystal.

abc: 4.1618 4.1618 8.9147
angles: 90.00 90.00 90.00
Fractional coordinates of all 6 atoms:
Zr 0.2500 0.2500 0.2242
Zr 0.7500 0.7500 0.7758
Sb 0.2500 0.2500 0.8807
Sb 0.7500 0.7500 0.1193
Pb 0.2500 0.7500 0.5000
Pb 0.7500 0.2500 0.5000

Output
Total moment = 0.000 μB/atom
Final energy = -34.3 eV per cell
ΔE_f (raw) = -72 kJ/mol of formula units

=====

Entry 8:
Density functional theory data (PBE-GGA) for a relaxed U4Cl crystal.

abc: 5.0440 5.0440 5.0440
angles: 90.00 90.00 90.00
Fractional coordinates of all 5 atoms:
U 0.0000 0.0000 0.0000
U 0.0000 0.5000 0.5000
U 0.5000 0.0000 0.5000
U 0.5000 0.5000 0.0000
Cl 0.5000 0.5000 0.5000

Output
Total moment = 1.896 μB/atom
Final energy = -43.7 eV per cell
ΔE_f (raw) = 317 kJ/mol of formula units